# CuNiAg2

An optimized crystal structure of CuNiAg2 (PBE, Alexandria via LeMat-Bulk).

Lattice parameters (Å, degrees): 9.0644 9.0644 9.0644 17.55 17.55 17.55
Last column: nearest neighbours and their distance in Å.
Fractional positions:
1 Cu 0.4935 0.4935 0.4935  3 Ni 2.49, 6 Cu 2.77, 3 Ag 2.77
2 Ag 0.0063 0.0063 0.0063  3 Ni 2.72, 9 Ag 2.77-3.00
3 Ag 0.2447 0.2447 0.2447  9 Ag 2.77-3.00, 3 Cu 2.77
4 Ni 0.7555 0.7555 0.7555  3 Cu 2.49, 3 Ag 2.72, 6 Ni 2.77

Summary:
The total energy is -3.708 eV per atom. Its excess energy over the best structure of this formula in the dataset is 57 meV/atom. The formation energy comes out at 18 kJ per mole of atoms. The density of states at the Fermi level is 2.1 states/eV/cell.

***

# Hf2Zr15Tl2

An optimized crystal structure of Hf2Zr15Tl2 (PBE, Alexandria via LeMat-Bulk).

Lattice parameters (Å, degrees): 7.8792 7.8792 7.8792 78.09 78.09 78.09
Last column: nearest neighbours and their distance in Å.
Fractional positions:
1 Zr 0.6245 0.6245 0.1641  6 Zr 2.80-3.02
2 Zr 0.7009 0.2991 0.0000  6 Zr 2.97-3.10, 2 Hf 3.30
3 Zr 0.6245 0.1641 0.6245  6 Zr 2.80-3.02
4 Zr 0.0000 0.0000 0.5000  8 Zr 3.02-3.10, 2 Hf 3.13
5 Zr 0.8359 0.3755 0.3755  6 Zr 2.80-3.02
6 Zr 0.1641 0.6245 0.6245  6 Zr 2.80-3.02
7 Zr 0.7009 0.0000 0.2991  6 Zr 2.97-3.10, 2 Hf 3.30
8 Zr 0.2991 0.0000 0.7009  6 Zr 2.97-3.10, 2 Hf 3.30
9 Zr 0.5000 0.0000 0.0000  8 Zr 3.02-3.10, 2 Hf 3.13
10 Zr 0.0000 0.2991 0.7009  6 Zr 2.97-3.10, 2 Hf 3.30
11 Zr 0.3755 0.8359 0.3755  6 Zr 2.80-3.02
12 Zr 0.0000 0.5000 0.0000  8 Zr 3.02-3.10, 2 Hf 3.13
13 Zr 0.2991 0.7009 0.0000  6 Zr 2.97-3.10, 2 Hf 3.30
14 Zr 0.3755 0.3755 0.8359  6 Zr 2.80-3.02
15 Zr 0.0000 0.7009 0.2991  6 Zr 2.97-3.10, 2 Hf 3.30
16 Tl 0.2902 0.2902 0.2902  1 Hf 3.26, 12 Zr 3.45-3.56
17 Tl 0.7098 0.7098 0.7098  1 Hf 3.26, 12 Zr 3.45-3.56
18 Hf 0.9110 0.9110 0.9110  1 Hf 2.89, 3 Zr 3.13
19 Hf 0.0890 0.0890 0.0890  1 Hf 2.89, 3 Zr 3.13

Summary:
The total energy is -7.657 eV per atom. The formation energy comes out at 37 kJ per mole of atoms. The density of states at the Fermi level is 34.2 states/eV/cell.

***

# KRb2Cd9

An optimized crystal structure of KRb2Cd9 (PBE, Alexandria via LeMat-Bulk).

Lattice parameters (Å, degrees): 6.3063 6.3063 11.2619 73.74 73.74 60.00
Last column: nearest neighbours and their distance in Å.
Fractional positions:
1 Cd 0.5820 0.5820 0.7599  7 Cd 3.12-3.33
2 Cd 0.5820 0.0760 0.7599  7 Cd 3.12-3.33
3 Cd 0.6653 0.6653 0.0041  6 Cd 3.12-3.16
4 Cd 0.0760 0.5820 0.7599  7 Cd 3.12-3.33
5 Cd 0.9240 0.4180 0.2401  7 Cd 3.12-3.33
6 Cd 0.4180 0.9240 0.2401  7 Cd 3.12-3.33
7 Cd 0.5000 0.5000 0.5000  6 Cd 3.33, 6 Rb 3.71
8 Cd 0.4180 0.4180 0.2401  7 Cd 3.12-3.33
9 Cd 0.3347 0.3347 0.9959  6 Cd 3.12-3.16
10 Rb 0.1443 0.1443 0.5670  12 Cd 3.71-3.92, 3 Rb 3.91
11 Rb 0.8557 0.8557 0.4330  12 Cd 3.71-3.92, 3 Rb 3.91
12 K 0.0000 0.0000 0.0000  18 Cd 3.64-4.06

Summary:
The total energy is -0.987 eV per atom. The formation energy comes out at -5 kJ per mole of atoms. The density of states at the Fermi level is 6.1 states/eV/cell.

***

# FeAgSb2Pd

An optimized crystal structure of FeAgSb2Pd (PBE, Alexandria via LeMat-Bulk).

Lattice parameters (Å, degrees): 4.7228 4.9747 4.7228 90.00 90.00 90.00
Last column: nearest neighbours and their distance in Å.
Fractional positions:
1 Sb 0.0000 0.0000 0.5000  2 Fe 2.36
2 Sb 0.5000 0.0000 0.0000  2 Fe 2.36
3 Fe 0.0000 0.0000 0.0000  4 Sb 2.36, 2 Ag 2.49
4 Pd 0.5000 0.5000 0.5000  4 Ag 3.34, 8 Sb 3.43
5 Ag 0.0000 0.5000 0.0000  2 Fe 2.49

Summary:
The total energy is -4.449 eV per atom. The density of states at the Fermi level is 2.7 states/eV/cell. The calculation puts the energy relative to the elements, uncorrected at 2.51 eV/f.u.

***

# AcPm10Tm6

An optimized crystal structure of AcPm10Tm6 (PBE, Alexandria via LeMat-Bulk).

Lattice parameters (Å, degrees): 6.9188 9.8284 9.8284 120.00 90.00 90.00
Last column: nearest neighbours and their distance in Å.
Fractional positions:
1 Pm 0.5000 0.6667 0.3333  6 Tm 3.36, 2 Pm 3.46
2 Pm 0.8281 0.7159 0.7159  5 Tm 3.44-3.64, 1 Ac 3.60, 4 Pm 3.67-3.74
3 Pm 0.0000 0.6667 0.3333  8 Pm 3.46-3.74, 6 Tm 3.81
4 Pm 0.1719 0.0000 0.7159  5 Tm 3.44-3.64, 1 Ac 3.60, 4 Pm 3.67-3.74
5 Pm 0.8281 0.0000 0.2841  5 Tm 3.44-3.64, 1 Ac 3.60, 4 Pm 3.67-3.74
6 Pm 0.8281 0.2841 0.0000  5 Tm 3.44-3.64, 1 Ac 3.60, 4 Pm 3.67-3.74
7 Pm 0.0000 0.3333 0.6667  8 Pm 3.46-3.74, 6 Tm 3.81
8 Pm 0.1719 0.7159 0.0000  5 Tm 3.44-3.64, 1 Ac 3.60, 4 Pm 3.67-3.74
9 Pm 0.5000 0.3333 0.6667  6 Tm 3.36, 2 Pm 3.46
10 Pm 0.1719 0.2841 0.2841  5 Tm 3.44-3.64, 1 Ac 3.60, 4 Pm 3.67-3.74
11 Ac 0.5000 0.0000 0.0000  6 Pm 3.60, 6 Tm 3.85
12 Tm 0.3164 0.0000 0.3693  7 Pm 3.36-3.64, 1 Tm 3.61
13 Tm 0.6836 0.3693 0.3693  7 Pm 3.36-3.64, 1 Tm 3.61
14 Tm 0.3164 0.6307 0.6307  7 Pm 3.36-3.64, 1 Tm 3.61
15 Tm 0.6836 0.0000 0.6307  7 Pm 3.36-3.64, 1 Tm 3.61
16 Tm 0.3164 0.3693 0.0000  7 Pm 3.36-3.64, 1 Tm 3.61
17 Tm 0.6836 0.6307 0.0000  7 Pm 3.36-3.64, 1 Tm 3.61

Summary:
The total energy is -4.477 eV per atom. The formation energy comes out at 13 kJ per mole of atoms. The density of states at the Fermi level is 27.1 states/eV/cell.

***

# Sm2GaSb

An optimized crystal structure of Sm2GaSb (PBE, Alexandria via LeMat-Bulk).

Lattice parameters (Å, degrees): 4.2156 6.1141 8.8416 108.26 90.00 90.00
Last column: nearest neighbours and their distance in Å.
Fractional positions:
1 Ga 0.2500 0.3920 0.7035  2 Sb 2.92, 5 Sm 3.04-3.11
2 Ga 0.7500 0.6080 0.2965  2 Sb 2.92, 5 Sm 3.04-3.11
3 Sb 0.2500 0.8742 0.2079  2 Ga 2.92, 5 Sm 3.17-3.19
4 Sb 0.7500 0.1258 0.7921  2 Ga 2.92, 5 Sm 3.17-3.19
5 Sm 0.2500 0.7884 0.5652  3 Ga 3.04-3.11, 3 Sb 3.18-3.36
6 Sm 0.2500 0.2998 0.0725  2 Ga 3.09, 4 Sb 3.17-3.34
7 Sm 0.7500 0.2116 0.4348  3 Ga 3.04-3.11, 3 Sb 3.18-3.36
8 Sm 0.7500 0.7002 0.9275  2 Ga 3.09, 4 Sb 3.17-3.34

Summary:
The total energy is -4.998 eV per atom. Its excess energy over the best structure of this formula in the dataset is 2 meV/atom. The density of states at the Fermi level is 5.4 states/eV/cell. The calculation puts the energy relative to the elements, uncorrected at -3.40 eV/f.u.

***

# Ac6Ru2Pb

An optimized crystal structure of Ac6Ru2Pb (PBE, Alexandria via LeMat-Bulk).

Lattice parameters (Å, degrees): 9.3104 9.3103 9.3103 104.50 110.41 113.64
Last column: nearest neighbours and their distance in Å.
Fractional positions:
1 Ac 0.6851 0.0204 0.3354  3 Ru 2.96-3.27
2 Ac 0.2060 0.2311 0.4372  1 Ru 2.91
3 Ac 0.2060 0.7689 0.9749  1 Ru 2.91
4 Ac 0.3149 0.9796 0.6646  3 Ru 2.96-3.27
5 Ac 0.1208 0.2964 0.8245  3 Ru 3.19-3.40, 1 Pb 3.55
6 Ac 0.3149 0.6503 0.3354  3 Ru 2.96-3.27
7 Ac 0.7940 0.7689 0.5628  1 Ru 2.91
8 Ac 0.5281 0.7036 0.8245  3 Ru 3.18-3.40, 1 Pb 3.55
9 Ac 0.4719 0.2964 0.1755  3 Ru 3.18-3.40, 1 Pb 3.55
10 Ac 0.7940 0.2311 0.0251  1 Ru 2.91
11 Ac 0.8792 0.7036 0.1755  3 Ru 3.19-3.40, 1 Pb 3.55
12 Ac 0.6851 0.3497 0.6646  3 Ru 2.96-3.27
13 Ru 0.5000 0.6347 0.1347  6 Ac 2.96-3.19, 1 Ru 3.07
14 Ru 0.5000 0.3653 0.8653  6 Ac 2.96-3.19, 1 Ru 3.07
15 Ru 0.6783 0.0000 0.6783  2 Ac 2.91
16 Ru 0.3217 0.0000 0.3217  2 Ac 2.91
17 Pb 0.0000 0.5000 0.5000  12 Ac 3.72-4.02
18 Pb 0.0000 0.0000 0.0000  2 Ru 3.42, 8 Ac 3.43-3.55

Summary:
The total energy is -5.454 eV per atom. Its excess energy over the best structure of this formula in the dataset is 0 meV/atom. The formation energy comes out at -23 kJ per mole of atoms. The density of states at the Fermi level is 14.1 states/eV/cell.

***

# Tc2Pt6Rh3

An optimized crystal structure of Tc2Pt6Rh3 (PBE, Alexandria via LeMat-Bulk).

Lattice parameters (Å, degrees): 4.9639 4.6663 20.1937 108.35 82.94 57.87
Last column: nearest neighbours and their distance in Å.
Fractional positions:
1 Rh 0.6286 0.5829 0.7446  5 Rh 2.60-2.77, 4 Pt 2.65-2.76
2 Rh 0.0438 0.0829 0.2446  5 Rh 2.60-2.77, 4 Pt 2.65-2.76
3 Rh 0.6603 0.7500 0.2500  4 Rh 2.60-2.63, 4 Pt 2.73-2.74
4 Rh 0.9562 0.9171 0.7554  5 Rh 2.60-2.77, 4 Pt 2.65-2.76
5 Rh 0.3397 0.2500 0.7500  4 Rh 2.60-2.63, 4 Pt 2.73-2.74
6 Rh 0.3714 0.4171 0.2554  5 Rh 2.60-2.77, 4 Pt 2.65-2.76
7 Pt 0.1237 0.8859 0.8740  3 Rh 2.65-2.74, 2 Tc 2.67, 6 Pt 2.67-2.97
8 Pt 0.8763 0.1141 0.1260  3 Rh 2.65-2.74, 2 Tc 2.67, 6 Pt 2.67-2.97
9 Pt 0.6260 0.1679 0.5762  4 Tc 2.69-2.72, 6 Pt 2.77-3.00
10 Pt 0.8836 0.6141 0.6260  3 Rh 2.65-2.74, 2 Tc 2.67, 6 Pt 2.67-2.97
11 Pt 0.7884 0.5517 0.8694  5 Pt 2.67-2.99, 2 Tc 2.70, 3 Rh 2.72-2.76
12 Pt 0.3701 0.3321 0.9238  4 Tc 2.69-2.72, 6 Pt 2.77-3.00
13 Pt 0.2116 0.4483 0.1306  5 Pt 2.67-2.99, 2 Tc 2.70, 3 Rh 2.72-2.76
14 Pt 0.1164 0.3859 0.3740  3 Rh 2.65-2.74, 2 Tc 2.67, 6 Pt 2.67-2.97
15 Pt 0.7906 0.0517 0.3694  5 Pt 2.67-2.99, 2 Tc 2.70, 3 Rh 2.72-2.76
16 Pt 0.3740 0.8321 0.4238  4 Tc 2.69-2.72, 6 Pt 2.77-3.00
17 Pt 0.2094 0.9483 0.6306  5 Pt 2.67-2.99, 2 Tc 2.70, 3 Rh 2.72-2.76
18 Pt 0.6299 0.6679 0.0762  4 Tc 2.69-2.72, 6 Pt 2.77-3.00
19 Tc 0.2538 0.9986 0.0003  2 Tc 2.45-2.51, 8 Pt 2.67-2.72
20 Tc 0.2528 0.5014 0.4997  2 Tc 2.45-2.51, 8 Pt 2.67-2.72
21 Tc 0.7462 0.0014 0.9997  2 Tc 2.45-2.51, 8 Pt 2.67-2.72
22 Tc 0.7472 0.4986 0.5003  2 Tc 2.45-2.51, 8 Pt 2.67-2.72

Summary:
The total energy is -7.048 eV per atom. The formation energy comes out at 13 kJ per mole of atoms. The density of states at the Fermi level is 26.2 states/eV/cell.

***

# SbAs2W

An optimized crystal structure of SbAs2W (PBE, Alexandria via LeMat-Bulk).

Lattice parameters (Å, degrees): 4.7358 4.7358 6.3141 71.88 71.88 41.22
Last column: nearest neighbours and their distance in Å.
Fractional positions:
1 As 0.9212 0.9212 0.1234  3 W 2.52-2.54
2 As 0.7769 0.7769 0.7770  2 W 2.57, 1 Sb 2.81, 1 As 2.88
3 Sb 0.5899 0.5899 0.4940  2 As 2.81-3.09, 2 W 2.86
4 W 0.2120 0.2120 0.1057  5 As 2.52-2.57

Summary:
The total energy is -6.449 eV per atom. The density of states at the Fermi level is 1.9 states/eV/cell. The calculation puts the energy relative to the elements, uncorrected at 0.58 eV/f.u.

***

# Sr2ZnPtSe

An optimized crystal structure of Sr2ZnPtSe (PBE, Alexandria via LeMat-Bulk).

Lattice parameters (Å, degrees): 5.8649 4.7800 5.8649 90.00 90.00 90.00
Last column: nearest neighbours and their distance in Å.
Fractional positions:
1 Zn 0.5000 0.5000 0.5000  8 Sr 3.78, 4 Pt 4.15
2 Pt 0.0000 0.5000 0.0000  2 Se 2.39
3 Sr 0.5000 0.0000 0.0000  2 Se 2.93
4 Sr 0.0000 0.0000 0.5000  2 Se 2.93
5 Se 0.0000 0.0000 0.0000  2 Pt 2.39

Summary:
The total energy is -3.302 eV per atom. The density of states at the Fermi level is 3.5 states/eV/cell. The calculation puts the energy relative to the elements, uncorrected at -2.34 eV/f.u.

***

# ScMoRh3

An optimized crystal structure of ScMoRh3 (PBE, Alexandria via LeMat-Bulk).

Lattice parameters (Å, degrees): 4.6749 4.6749 4.6749 90.00 90.00 90.00
Last column: nearest neighbours and their distance in Å.
Fractional positions:
1 Sc 0.5000 0.5000 0.5000  12 Rh 3.31
2 Rh 0.5000 0.0000 0.0000  2 Mo 2.34
3 Rh 0.0000 0.5000 0.0000  2 Mo 2.34
4 Rh 0.0000 0.0000 0.5000  2 Mo 2.34
5 Mo 0.0000 0.0000 0.0000  6 Rh 2.34

Summary:
The total energy is -7.309 eV per atom. Its excess energy over the best structure of this formula in the dataset is 0 meV/atom. The formation energy comes out at 52 kJ per mole of atoms. The density of states at the Fermi level is 7.2 states/eV/cell.

***

# RuIF3

An optimized crystal structure of RuIF3 (PBE, Alexandria via LeMat-Bulk).

Lattice parameters (Å, degrees): 4.3266 4.3266 4.3266 90.00 90.00 90.00
Last column: nearest neighbours and their distance in Å.
Fractional positions:
1 F 0.0000 0.0000 0.5000  2 Ru 2.16
2 F 0.5000 0.0000 0.0000  2 Ru 2.16
3 F 0.0000 0.5000 0.0000  2 Ru 2.16
4 Ru 0.0000 0.0000 0.0000  6 F 2.16
5 I 0.5000 0.5000 0.5000  12 F 3.06

Summary:
The total energy is -3.953 eV per atom. Its excess energy over the best structure of this formula in the dataset is 530 meV/atom. The density of states at the Fermi level is 5.9 states/eV/cell. The calculation puts the energy relative to the elements, uncorrected at -3.32 eV/f.u.